Computed, not measured: crystalline PuNp at its relaxed geometry at the PBE level of DFT.

POSCAR file:
```
PuNp
1.0
-0.952 -1.893 1.870
2.773 0.492 -0.224
-0.425 4.252 4.087
Np Pu
1 1
Cartesian
-0.029 2.091 4.238
1.425 0.760 1.496
```

Properties
ΔH_f (0 K): 0.331 eV/atom
Relative energy among the computed polymorphs: 0.243 eV per atom